SrEuPdPb GGA-PBE optimized geometry; SG = F-43m
1.0
5.495 0.000 0.000
2.747 4.758 0.000
2.747 1.586 4.486
Pd Eu Pb Sr
1 1 1 1
Direct
0.750 0.750 0.750 Pd
0.000 0.000 0.000 Eu
0.250 0.250 0.250 Pb
0.500 0.500 0.500 Sr

YSc3In GGA-PBE optimized geometry; SG = Pm-3m; ΔE to the lowest computed polymorph = 995 meV per atom
1.0
5.243 0.000 0.000
0.000 5.243 0.000
0.000 0.000 5.243
Sc Y In
3 1 1
Direct
0.500 0.000 0.000 Sc
0.000 0.000 0.500 Sc
0.000 0.500 0.000 Sc
0.000 0.000 0.000 Y
0.500 0.500 0.500 In

SmGa4Au4 GGA-PBE optimized geometry; SG = P4_2/nmc
1.0
6.229 0.000 0.000
0.000 6.229 0.000
0.000 0.000 9.085
Ga Au Sm
8 8 2
Direct
0.000 0.713 0.408 Ga
0.787 0.500 0.908 Ga
0.000 0.287 0.408 Ga
0.713 0.000 0.592 Ga
0.213 0.500 0.908 Ga
0.500 0.213 0.092 Ga
0.287 0.000 0.592 Ga
0.500 0.787 0.092 Ga
0.767 0.500 0.198 Au
0.000 0.733 0.698 Au
0.500 0.767 0.802 Au
0.267 0.000 0.302 Au
0.733 0.000 0.302 Au
0.000 0.267 0.698 Au
0.233 0.500 0.198 Au
0.500 0.233 0.802 Au
0.000 0.000 0.000 Sm
0.500 0.500 0.500 Sm

| no. | E (eV/f.u.) | energy relative to the elements (eV/atom) | magnetic moment (μB per atom) |
| --- | --- | --- | --- |
| 1 | -22.74 | -0.470 | 1.756 |
| 2 | -23.82 | 0.876 | 0.000 |
| 3 | -33.34 | -0.378 | 0.000 |